The following is a PBE calculation of crystalline Sc2Al3GePt2 at its relaxed geometry, from OQMD via LeMat-Bulk.

The structure in POSCAR format:
```
Sc2Al3GePt2
1.0
4.916 -2.107 0.000
4.916 2.107 0.000
-0.065 0.000 6.682
Sc Al Ge Pt
2 3 1 2
direct
0.000 0.000 0.000
0.154 0.154 0.502
0.440 0.440 0.299
0.444 0.444 0.700
0.714 0.714 0.200
0.702 0.702 0.794
0.286 0.286 0.997
0.874 0.874 0.504
```

As for the total energy: -6.02 eV per atom. Its space group is Cm.